1.
HoZn2GaCu2 | PBE | relaxed

Calculated values
formation energy from the elements = 0.002 eV per atom
symmetry = P4/mmm, No. 123
DOS(E_F) = 3.269 states/eV/cell
E = -3.0552 eV/atom

Geometry as POSCAR:
```
HoZn2GaCu2
1.0
-0.346 -4.356 -0.875
2.729 -0.901 3.406
-4.369 -0.337 3.411
Ga Cu Ho Zn
1 2 1 2
Direct
0.000 0.000 0.000
0.000 0.500 0.000
0.500 0.000 0.000
0.000 0.000 0.500
0.500 0.500 0.732
0.500 0.500 0.268
```

2.
HoZnGa2Cu2 | PBE | relaxed

Calculated values
formation energy from the elements = -0.331 eV per atom
symmetry = P-3m1, No. 164
DOS(E_F) = 2.551 states/eV/cell
E = -3.6810 eV/atom

Geometry as POSCAR:
```
HoZnGa2Cu2
1.0
-0.957 1.705 3.688
-1.406 -3.810 -0.966
5.492 -2.706 2.677
Cu Ga Zn Ho
2 2 1 1
Direct
0.333 0.667 0.676
0.667 0.333 0.324
0.333 0.667 0.272
0.667 0.333 0.728
0.000 0.000 0.500
0.000 0.000 0.000
```

3.
HoZnGa2Cu4 | PBE | relaxed

Calculated values
formation energy from the elements = -0.215 eV per atom
symmetry = R-3m, No. 166
DOS(E_F) = 4.587 states/eV/cell
E = -3.7514 eV/atom

Geometry as POSCAR:
```
HoZnGa2Cu4
1.0
-1.443 3.044 2.469
-2.904 -0.847 2.880
4.469 -0.911 7.266
Cu Ga Zn Ho
4 2 1 1
Direct
0.598 0.598 0.205
0.402 0.402 0.795
0.132 0.132 0.603
0.868 0.868 0.397
0.753 0.753 0.742
0.247 0.247 0.258
0.500 0.500 0.500
0.000 0.000 0.000
```

4.
Ho2ZnGa4Cu3 | PBE | relaxed

Calculated values
formation energy from the elements = -0.432 eV per atom
symmetry = P-4m2, No. 115
DOS(E_F) = 5.339 states/eV/cell
E = -3.9149 eV/atom

Geometry as POSCAR:
```
Ho2ZnGa4Cu3
1.0
4.088 0.000 0.000
0.000 4.088 0.000
0.000 0.000 10.399
Ga Cu Zn Ho
4 3 1 2
Direct
0.500 0.000 0.639
0.000 0.500 0.361
0.000 0.000 0.000
0.500 0.500 0.000
0.000 0.500 0.134
0.000 0.000 0.500
0.500 0.000 0.866
0.500 0.500 0.500
0.000 0.500 0.751
0.500 0.000 0.249
```